DFT (PBE) results for a geometry-optimized MgCdTe structure.

```
MgCdTe
1.0
6.950 -0.035 0.032
5.922 3.349 0.047
1.028 -0.298 3.371
Cd Mg Te
1 1 1
Direct
0.987 0.987 0.013 Cd
0.327 0.327 0.673 Mg
0.686 0.686 0.314 Te
```

Calculated values
formation energy without anion corrections	-0.12	eV per atom
polymorph energy (0 for the lowest one)	0.185	eV/atom

***

DFT (PBE) results for a geometry-optimized MgFe2Ru structure.

```
MgFe2Ru
1.0
-2.991 -0.457 -1.259
0.376 -4.015 0.565
-1.640 0.375 3.761
Fe Ru Mg
2 1 1
Direct
0.500 0.500 0.000 Fe
0.000 0.000 0.000 Fe
0.000 0.500 0.500 Ru
0.500 0.000 0.500 Mg
```

Calculated values
ΔH_f (0 K)	0.20	eV per atom

***

DFT (PBE) results for a geometry-optimized Y5Ho12Er2 structure.

```
Y5Ho12Er2
1.0
9.103 0.000 0.000
-4.552 7.804 1.167
0.000 -1.438 8.367
Ho Y Er
12 5 2
Direct
0.029 0.692 0.756 Ho
0.909 0.818 0.113 Ho
0.567 0.747 0.336 Ho
0.820 0.253 0.664 Ho
0.091 0.182 0.887 Ho
0.336 0.308 0.244 Ho
0.180 0.747 0.336 Ho
0.971 0.308 0.244 Ho
0.433 0.253 0.664 Ho
0.664 0.692 0.756 Ho
0.557 0.113 0.336 Ho
0.443 0.887 0.664 Ho
0.233 0.467 0.573 Y
0.301 0.602 0.990 Y
0.767 0.533 0.427 Y
0.699 0.398 0.010 Y
0.000 0.000 0.500 Y
0.678 0.000 0.000 Er
0.322 0.000 0.000 Er
```

Calculated values
ΔH_f (0 K)	0.12	eV per atom
polymorph energy (0 for the lowest one)	0.003	eV/atom

***

DFT (PBE) results for a geometry-optimized Zn2AgCl structure.

```
Zn2AgCl
1.0
-1.523 2.950 -3.526
-4.079 1.083 -2.376
-3.962 6.077 1.058
Zn Ag Cl
2 1 1
Direct
0.535 0.535 0.592 Zn
0.965 0.965 0.908 Zn
0.750 0.750 0.750 Ag
0.250 0.250 0.250 Cl
```

Calculated values
formation energy without anion corrections	-0.14	eV per atom
polymorph energy (0 for the lowest one)	0.031	eV/atom

***

DFT (PBE) results for a geometry-optimized Mn5GePd6 structure.

```
Mn5GePd6
1.0
-1.140 -3.598 -2.590
-1.445 -3.004 4.808
-5.345 4.660 -2.254
Pd Mn Ge
6 5 1
Direct
0.836 0.084 0.670 Pd
0.500 0.751 0.000 Pd
0.500 0.249 0.000 Pd
0.164 0.414 0.330 Pd
0.164 0.916 0.330 Pd
0.836 0.586 0.670 Pd
0.672 0.171 0.341 Mn
0.000 0.500 0.000 Mn
0.328 0.829 0.659 Mn
0.334 0.333 0.665 Mn
0.666 0.667 0.335 Mn
0.000 0.000 0.000 Ge
```

Calculated values
ΔH_f (0 K)	-0.23	eV per atom

***

DFT (PBE) results for a geometry-optimized Na3Te2Pb structure.

```
Na3Te2Pb
1.0
-4.558 0.217 -6.304
3.295 -5.665 -2.577
-4.469 -1.848 7.971
Na Pb Te
6 2 4
Direct
0.230 0.980 0.460 Na
0.230 0.480 0.460 Na
0.500 0.250 0.000 Na
0.770 0.520 0.540 Na
0.500 0.750 0.000 Na
0.770 0.020 0.540 Na
0.000 0.500 0.000 Pb
0.000 0.000 0.000 Pb
0.846 0.140 0.279 Te
0.154 0.860 0.721 Te
0.434 0.640 0.279 Te
0.566 0.360 0.721 Te
```

Calculated values
formation energy without anion corrections	-0.58	eV per atom

***

DFT (PBE) results for a geometry-optimized SiGeHN2 structure.

```
SiGeHN2
1.0
3.407 0.000 0.000
0.000 3.407 0.000
0.000 0.000 5.460
Ge Si N H
1 1 2 1
Direct
0.000 0.000 0.500 Ge
0.000 0.000 0.000 Si
0.000 0.500 0.000 N
0.500 0.000 0.000 N
0.500 0.500 0.500 H
```

***

DFT (PBE) results for a geometry-optimized MgNpInCl6 structure.

```
MgNpInCl6
1.0
-3.207 5.935 1.634
-0.564 -5.514 4.178
11.136 4.110 6.928
Cl In Np Mg
12 2 2 2
Direct
0.640 0.022 0.857 Cl
0.382 0.360 0.857 Cl
0.978 0.618 0.857 Cl
0.618 0.640 0.143 Cl
0.360 0.978 0.143 Cl
0.360 0.382 0.357 Cl
0.382 0.022 0.643 Cl
0.640 0.618 0.643 Cl
0.618 0.978 0.357 Cl
0.978 0.360 0.643 Cl
0.022 0.382 0.143 Cl
0.022 0.640 0.357 Cl
0.000 0.000 0.000 In
0.000 0.000 0.500 In
0.667 0.333 0.250 Np
0.333 0.667 0.750 Np
0.667 0.333 0.750 Mg
0.333 0.667 0.250 Mg
```

Calculated values
formation energy without anion corrections	-1.56	eV per atom

***

DFT (PBE) results for a geometry-optimized CuTc2W structure.

```
CuTc2W
1.0
-2.912 0.522 -2.581
-1.931 -3.040 1.563
-1.694 2.297 2.376
Tc W Cu
2 1 1
Direct
0.500 0.500 0.000 Tc
0.000 0.000 0.000 Tc
0.500 0.000 0.500 W
0.000 0.500 0.500 Cu
```

Calculated values
ΔH_f (0 K)	0.16	eV per atom
polymorph energy (0 for the lowest one)	0.000	eV/atom

***

DFT (PBE) results for a geometry-optimized KTiSnBi2 structure.

```
KTiSnBi2
1.0
-2.820 -0.498 -4.698
1.268 -5.350 -0.194
-4.497 -1.169 2.824
Bi K Ti Sn
2 1 1 1
Direct
0.500 0.000 0.000 Bi
0.000 0.500 0.000 Bi
0.500 0.500 0.500 K
0.000 0.000 0.000 Ti
0.000 0.000 0.500 Sn
```

Calculated values
ΔH_f (0 K)	-0.11	eV per atom
polymorph energy (0 for the lowest one)	0.000	eV/atom

***

DFT (PBE) results for a geometry-optimized Li6Hg2Sb structure.

```
Li6Hg2Sb
1.0
5.422 -0.285 0.522
0.595 5.421 -0.129
-0.235 -0.147 5.448
Hg Li Sb
2 6 1
Direct
0.662 0.339 0.339 Hg
0.338 0.661 0.661 Hg
0.834 0.500 0.834 Li
0.834 0.834 0.500 Li
0.500 0.834 0.166 Li
0.500 0.166 0.834 Li
0.166 0.166 0.500 Li
0.166 0.500 0.166 Li
0.000 0.000 0.000 Sb
```

Calculated values
formation energy without anion corrections	-0.35	eV per atom

***

DFT (PBE) results for a geometry-optimized NbTcP structure.

```
NbTcP
1.0
-6.499 1.036 -0.052
-0.248 -1.411 2.816
6.529 6.763 3.963
Tc P Nb
4 4 4
Direct
0.554 0.500 0.647 Tc
0.446 0.500 0.353 Tc
0.554 0.000 0.147 Tc
0.446 0.000 0.853 Tc
0.202 0.500 0.655 P
0.798 0.500 0.345 P
0.202 0.000 0.155 P
0.798 0.000 0.845 P
0.136 0.000 0.412 Nb
0.864 0.500 0.088 Nb
0.136 0.500 0.912 Nb
0.864 0.000 0.588 Nb
```

Calculated values
ΔH_f (0 K)	-0.55	eV per atom
polymorph energy (0 for the lowest one)	0.067	eV/atom

***

DFT (PBE) results for a geometry-optimized RbMg5 structure.

```
RbMg5
1.0
3.172 -5.494 0.000
3.172 5.494 0.000
0.000 0.000 5.253
Rb Mg
1 5
Direct
0.000 0.000 0.500 Rb
0.000 0.500 0.000 Mg
0.333 0.667 0.500 Mg
0.667 0.333 0.500 Mg
0.500 0.000 0.000 Mg
0.500 0.500 0.000 Mg
```

Calculated values
ΔH_f (0 K)	0.14	eV per atom
polymorph energy (0 for the lowest one)	0.007	eV/atom

***

DFT (PBE) results for a geometry-optimized KNa4Ca structure.

```
KNa4Ca
1.0
7.111 0.000 0.000
3.555 6.158 0.000
3.555 2.053 5.806
Na Ca K
4 1 1
Direct
0.626 0.626 0.122 Na
0.122 0.626 0.626 Na
0.626 0.626 0.626 Na
0.626 0.122 0.626 Na
0.000 0.000 0.000 Ca
0.250 0.250 0.250 K
```

Calculated values
ΔH_f (0 K)	0.07	eV per atom
polymorph energy (0 for the lowest one)	0.013	eV/atom

***

DFT (PBE) results for a geometry-optimized Tl3Pb5 structure.

```
Tl3Pb5
1.0
3.451 -0.179 0.000
-1.330 3.189 0.000
0.000 0.000 23.256
Tl Pb
3 5
Direct
0.000 0.000 0.123 Tl
0.000 0.000 0.877 Tl
0.500 0.500 0.000 Tl
0.500 0.500 0.500 Pb
0.000 0.000 0.372 Pb
0.500 0.500 0.247 Pb
0.500 0.500 0.753 Pb
0.000 0.000 0.628 Pb
```

Calculated values
ΔH_f (0 K)	0.01	eV per atom
polymorph energy (0 for the lowest one)	0.011	eV/atom

***

DFT (PBE) results for a geometry-optimized UPa2Ru structure.

```
UPa2Ru
1.0
-1.257 -3.138 0.793
2.100 -2.765 -0.014
2.158 -0.585 8.710
U Ru Pa
1 1 2
Direct
0.000 0.000 0.000 U
0.500 0.500 0.500 Ru
0.238 0.238 0.285 Pa
0.762 0.762 0.715 Pa
```

Calculated values
ΔH_f (0 K)	0.08	eV per atom
polymorph energy (0 for the lowest one)	0.238	eV/atom

***

DFT (PBE) results for a geometry-optimized SrSmOsO6 structure.

```
SrSmOsO6
1.0
5.685 0.000 0.000
-2.843 4.923 0.000
0.000 0.000 10.204
O Sr Sm Os
12 2 2 2
Direct
0.392 0.053 0.144 O
0.947 0.608 0.356 O
0.392 0.339 0.356 O
0.661 0.053 0.356 O
0.339 0.947 0.644 O
0.608 0.947 0.856 O
0.053 0.392 0.644 O
0.661 0.608 0.144 O
0.339 0.392 0.856 O
0.053 0.661 0.856 O
0.947 0.339 0.144 O
0.608 0.661 0.644 O
0.000 0.000 0.000 Sr
0.000 0.000 0.500 Sr
0.333 0.667 0.250 Sm
0.667 0.333 0.750 Sm
0.333 0.667 0.750 Os
0.667 0.333 0.250 Os
```

Calculated values
formation energy without anion corrections	-2.10	eV per atom

***

DFT (PBE) results for a geometry-optimized Ti2CrBrN structure.

```
Ti2CrBrN
1.0
4.383 0.000 0.000
0.000 3.664 0.000
0.000 0.000 4.383
N Cr Br Ti
1 1 1 2
Direct
0.000 0.000 0.000 N
0.000 0.500 0.000 Cr
0.500 0.500 0.500 Br
0.000 0.000 0.500 Ti
0.500 0.000 0.000 Ti
```

Calculated values
formation energy without anion corrections	-0.21	eV per atom

***

DFT (PBE) results for a geometry-optimized AcSnH structure.

```
AcSnH
1.0
-2.223 0.069 2.732
-2.588 -1.184 -2.076
3.906 -5.116 1.037
Ac H Sn
1 1 1
Direct
0.560 0.560 0.121 Ac
0.014 0.014 0.028 H
0.276 0.276 0.551 Sn
```

Calculated values
polymorph energy (0 for the lowest one)	0.429	eV/atom

***

DFT (PBE) results for a geometry-optimized ReOs3W structure.

```
ReOs3W
1.0
4.427 0.002 0.489
-0.001 5.566 0.030
1.533 0.035 6.397
Os Re W
6 2 2
Direct
0.190 0.499 0.120 Os
0.810 0.501 0.880 Os
0.004 0.718 0.496 Os
0.996 0.282 0.504 Os
0.183 0.999 0.134 Os
0.817 0.001 0.866 Os
0.622 0.754 0.256 Re
0.378 0.246 0.744 Re
0.383 0.762 0.734 W
0.617 0.238 0.266 W
```

Calculated values
ΔH_f (0 K)	0.22	eV per atom
polymorph energy (0 for the lowest one)	0.000	eV/atom

***

Result set for total moment: 0.00 6.07 0.00 0.00 21.94 0.19 0.00 4.00 0.00 0.00 0.00 0.00 0.00 0.00 0.00 1.67 1.04 0.00 0.00 0.00 μB/f.u., one per record in the order listed.
Result set for calculated total energy: -2.000 -6.753 -4.950 -1.953 -7.034 -2.908 -5.182 -4.708 -9.288 -4.265 -2.147 -9.167 -1.353 -1.329 -3.193 -9.809 -7.368 -7.290 -4.074 -11.598 eV/atom, one per record in the order listed.